# 1
Fe2CoSi | meta-GGA SCAN | single point on PBEsol structure

Summary:
- DFT total energy (eV/atom) = -16.20
- ρ (g/cm³) = 7.77
- D(E_F) (states/eV/cell) = 3.8
- E_form (uncorrected) (eV/atom) = -0.308
- volume (Å³ per atom) = 10.62

Lattice parameters (Å, degrees): 2.8518 3.8205 7.7951 90.00 90.00 90.00
Space group Immm (No. 71)
Asymmetric unit:
Fe: 0.0000 0.0000 0.2458 (multiplicity 4)
Co: 0.0000 0.5000 0.0000 (multiplicity 2)
Si: 0.0000 0.5000 0.5000 (multiplicity 2)

# 2
CdSe2N2 | meta-GGA SCAN | single point on PBEsol structure

Summary:
- DFT total energy (eV/atom) = -16.53
- ρ (g/cm³) = 6.00
- D(E_F) (states/eV/cell) = 2.2
- E_form (uncorrected) (eV/atom) = 1.298
- volume (Å³ per atom) = 16.51

Lattice parameters (Å, degrees): 3.7637 3.7637 5.8284 90.00 90.00 90.00
Space group P4/mmm (No. 123)
Asymmetric unit:
Cd: 0.0000 0.0000 0.0000 (multiplicity 1)
Se: 0.5000 0.5000 0.0000 (multiplicity 1)
Se: 0.5000 0.5000 0.5000 (multiplicity 1)
N: 0.0000 0.5000 0.5000 (multiplicity 2)